Material: AgBF5
Method: DFT, GGA-PBEsol
State: optimized geometry

Structure (POSCAR):
```
AgBF5
1.0
4.022 0.000 0.000
0.000 6.636 0.000
0.000 0.000 6.636
F B Ag
10 2 2
Cartesian
3.214 2.831 2.268
3.214 1.050 6.150
0.809 6.150 5.587
0.809 4.368 2.831
2.734 0.000 3.318
0.809 2.268 3.805
1.289 3.318 0.000
3.214 5.587 0.487
0.809 0.487 1.050
3.214 3.805 4.368
0.000 3.318 3.318
0.000 0.000 0.000
0.721 0.000 3.318
3.301 3.318 0.000
```

Theoretical density: 4.01 g cm⁻³
ΔE_f (raw): -14.87 eV/f.u.
N(E_F): 0.1329 states/eV/atom